Entry 1:
Crystalline AlMo3Pt at its relaxed geometry, computed with PBE.

Energy of formation from the pure elements = 8.29 eV per formula unit
Energy above the most stable polymorph in this dataset = 259 meV/atom

The structure in POSCAR format:
```
AlMo3Pt
1.0
-1.834 -4.281 1.039
4.287 -1.993 -0.645
1.013 0.686 4.612
Mo Al Pt
3 1 1
direct
0.000 0.500 0.000 Mo
0.000 0.000 0.500 Mo
0.500 0.000 0.000 Mo
0.500 0.500 0.500 Al
0.000 0.000 0.000 Pt
```


Entry 2:
Crystalline TlCr4Fe at its relaxed geometry, computed with PBE.

Energy of formation from the pure elements = 3.09 eV per formula unit

The structure in POSCAR format:
```
TlCr4Fe
1.0
-3.326 -0.742 3.456
-3.832 -2.844 -0.889
-0.349 -4.342 2.141
Tl Cr Fe
1 4 1
direct
0.000 0.000 0.000 Tl
0.624 0.624 0.129 Cr
0.624 0.129 0.624 Cr
0.624 0.624 0.624 Cr
0.129 0.624 0.624 Cr
0.250 0.250 0.250 Fe
```


Entry 3:
Crystalline Zr2AgCl at its relaxed geometry, computed with PBE.

Formation energy without anion corrections = -0.1089 eV per atom
Energy above the most stable polymorph in this dataset = 390 meV/atom

The structure in POSCAR format:
```
Zr2AgCl
1.0
3.079 0.000 0.000
0.000 4.251 0.000
0.000 0.000 6.156
Ag Cl Zr
1 1 2
direct
0.500 0.500 0.250 Ag
0.500 0.500 0.750 Cl
0.000 0.000 0.011 Zr
0.000 0.000 0.489 Zr
```


Entry 4:
Crystalline CdFe2SiP at its relaxed geometry, computed with PBE.

Formation energy without anion corrections = 0.7272 eV per atom

The structure in POSCAR format:
```
CdFe2SiP
1.0
4.364 0.000 0.000
0.000 4.573 0.000
0.000 0.000 4.364
P Si Fe Cd
1 1 2 1
direct
0.000 0.500 0.000 P
0.000 0.000 0.000 Si
0.000 0.000 0.500 Fe
0.500 0.000 0.000 Fe
0.500 0.500 0.500 Cd
```


Entry 5:
Crystalline ReNiTe at its relaxed geometry, computed with PBE.

Formation energy without anion corrections = 0.5339 eV per atom
Energy above the most stable polymorph in this dataset = 0 meV/atom

The structure in POSCAR format:
```
ReNiTe
1.0
4.288 0.000 0.000
2.144 3.713 0.000
2.144 1.238 3.501
Ni Re Te
1 1 1
direct
0.500 0.500 0.500 Ni
0.750 0.750 0.750 Re
0.000 0.000 0.000 Te
```


Entry 6:
Crystalline Cd2SnRh2 at its relaxed geometry, computed with PBE.

Energy of formation from the pure elements = -1.15 eV per formula unit

The structure in POSCAR format:
```
Cd2SnRh2
1.0
-5.583 -3.617 -0.996
3.554 -4.528 -3.480
0.756 -2.150 3.571
Rh Sn Cd
4 2 4
direct
0.356 0.856 0.000 Rh
0.856 0.644 0.000 Rh
0.644 0.144 0.000 Rh
0.144 0.356 0.000 Rh
0.000 0.000 0.000 Sn
0.500 0.500 0.000 Sn
0.156 0.656 0.500 Cd
0.656 0.844 0.500 Cd
0.844 0.344 0.500 Cd
0.344 0.156 0.500 Cd
```


Entry 7:
Crystalline SrNiTe at its relaxed geometry, computed with PBE.

Formation energy without anion corrections = -0.8513 eV per atom

The structure in POSCAR format:
```
SrNiTe
1.0
4.383 0.000 0.000
-2.191 3.796 0.000
0.000 0.000 4.509
Sr Te Ni
1 1 1
direct
0.667 0.333 0.334 Sr
0.333 0.667 0.834 Te
0.000 0.000 0.833 Ni
```


Entry 8:
Crystalline TbHo2OsN4 at its relaxed geometry, computed with PBE.

Formation energy without anion corrections = -0.9838 eV per atom

The structure in POSCAR format:
```
TbHo2OsN4
1.0
3.381 0.000 0.000
-1.690 5.785 0.000
0.000 0.000 11.616
Tb Ho Os N
2 4 2 8
direct
0.128 0.257 0.750 Tb
0.872 0.743 0.250 Tb
0.369 0.737 0.541 Ho
0.631 0.263 0.041 Ho
0.631 0.263 0.459 Ho
0.369 0.737 0.959 Ho
0.864 0.729 0.750 Os
0.136 0.271 0.250 Os
0.268 0.536 0.130 N
0.732 0.464 0.630 N
0.732 0.464 0.870 N
0.268 0.536 0.370 N
0.000 0.000 0.500 N
0.000 0.000 0.000 N
0.451 0.901 0.750 N
0.549 0.099 0.250 N
```


Entry 9:
Crystalline Ba2ScMo at its relaxed geometry, computed with PBE.

Energy of formation from the pure elements = 4.06 eV per formula unit
Energy above the most stable polymorph in this dataset = 475 meV/atom

The structure in POSCAR format:
```
Ba2ScMo
1.0
0.000 4.070 4.070
4.070 0.000 4.070
4.070 4.070 0.000
Sc Mo Ba
1 1 2
direct
0.000 0.000 0.000 Sc
0.500 0.500 0.500 Mo
0.250 0.250 0.250 Ba
0.750 0.750 0.750 Ba
```


Entry 10:
Crystalline Mg2TlCd at its relaxed geometry, computed with PBE.

Energy of formation from the pure elements = 0.46 eV per formula unit

The structure in POSCAR format:
```
Mg2TlCd
1.0
-7.921 1.775 1.082
-1.786 -7.992 0.035
-4.447 -3.186 3.659
Tl Mg Cd
2 4 2
direct
0.000 0.000 0.000 Tl
0.750 0.250 0.500 Tl
0.615 0.125 0.250 Mg
0.135 0.625 0.250 Mg
0.375 0.385 0.750 Mg
0.875 0.865 0.750 Mg
0.500 0.500 0.000 Cd
0.250 0.750 0.500 Cd
```


Entry 11:
Crystalline Pr2NiHPt at its relaxed geometry, computed with PBE.

The structure in POSCAR format:
```
Pr2NiHPt
1.0
4.507 0.000 0.000
0.000 5.832 -0.182
0.000 -2.717 7.536
Pr Ni H Pt
4 2 2 2
direct
0.750 0.782 0.572 Pr
0.750 0.777 0.067 Pr
0.250 0.218 0.428 Pr
0.250 0.223 0.933 Pr
0.250 0.650 0.789 Ni
0.750 0.350 0.211 Ni
0.250 0.855 0.993 H
0.750 0.145 0.007 H
0.250 0.639 0.297 Pt
0.750 0.361 0.703 Pt
```


Entry 12:
Crystalline Pm8Pr3Ho3 at its relaxed geometry, computed with PBE.

Energy of formation from the pure elements = 1.36 eV per formula unit

The structure in POSCAR format:
```
Pm8Pr3Ho3
1.0
-4.104 -1.125 -3.882
-8.050 -2.648 5.005
-2.727 8.621 -3.886
Pm Pr Ho
8 3 3
direct
0.660 0.119 0.561 Pm
0.340 0.881 0.439 Pm
0.660 0.561 0.119 Pm
0.340 0.439 0.881 Pm
0.839 0.764 0.558 Pm
0.161 0.236 0.442 Pm
0.839 0.558 0.764 Pm
0.161 0.442 0.236 Pm
0.500 0.000 0.000 Pr
0.000 0.820 0.180 Pr
0.000 0.180 0.820 Pr
0.500 0.500 0.500 Ho
0.798 0.202 0.202 Ho
0.202 0.798 0.798 Ho
```


Number 1: uncorrected energy -6.797 eV per atom. Number 2: uncorrected energy -7.705 eV per atom. Number 3: uncorrected energy -5.557 eV per atom. Number 4: uncorrected energy -5.008 eV per atom. Number 5: uncorrected energy -6.590 eV per atom. Number 6: uncorrected energy -4.337 eV per atom. Number 7: uncorrected energy -4.386 eV per atom. Number 8: uncorrected energy -8.273 eV per atom. Number 9: uncorrected energy -4.238 eV per atom. Number 10: uncorrected energy -1.502 eV per atom. Number 11: uncorrected energy -5.612 eV per atom. Number 12: uncorrected energy -4.623 eV per atom.